1.
Entry from the Alexandria database: Pm3BiO3 after structural relaxation (PBE-GGA).

Computed properties:
**Fermi-level density of states**: 8.70 states/eV per cell
**Theoretical density**: 7.24 g cm⁻³

a = 6.8947 Å, b = 6.8947 Å, c = 23.1426 Å
α = 90.00°, β = 90.00°, γ = 120.00°
Space group R-3 (No. 148, hexagonal axes)
Symmetry-distinct sites (fractional):
Pm 0.0026 0.6513 0.3972
Bi 0.0000 0.0000 0.1666
O 0.0058 0.6827 0.6276

***

2.
Entry from the Alexandria database: Pm3BiO3 after structural relaxation (PBE-GGA).

Computed properties:
**Fermi-level density of states**: 0.47 states/eV per cell
**Theoretical density**: 7.50 g cm⁻³

a = 8.8633 Å, b = 8.8633 Å, c = 4.5058 Å
α = 90.00°, β = 90.00°, γ = 120.00°
Space group P6_3/m (No. 176)
Symmetry-distinct sites (fractional):
Pm 0.0573 0.3214 0.2500
Bi 0.3333 0.6667 0.7500
O 0.0298 0.2382 0.7500

***

Relative calculated energies, zero for the most stable structure, unit meV per atom: 1 0; 2 21.